A geometry-optimized HfAlTl2Te5 structure, computed with PBE-GGA.

E_form (uncorrected) in kJ per mole of atoms: -47

abc: 4.015 20.280 15.025
angles: 90.00 90.00 90.00
Space group Cmc2_1 (No. 36)
Inequivalent atoms, fractional coordinates:
1 Hf 0.000 0.204 0.000 x4
2 Al 0.000 0.432 0.392 x4
3 Tl 0.000 0.124 0.641 x4
4 Tl 0.000 0.125 0.297 x4
5 Te 0.000 0.053 0.005 x4
6 Te 0.000 0.292 0.635 x4
7 Te 0.000 0.304 0.356 x4
8 Te 0.000 0.342 0.973 x4
9 Te 0.000 0.500 0.244 x4